A plane-wave DFT calculation with PBE was carried out for an optimized crystal structure of InGa2Sn2Pd5.

Cell and atoms, written as POSCAR:
```
InGa2Sn2Pd5
1.0
10.0937 0.0000 0.0000
0.0000 10.0937 0.0000
0.0000 0.0000 3.5536
In Ga Sn Pd
2 4 4 10
Cartesian
0.0000 0.0000 0.0000
5.0468 5.0468 0.0000
1.4127 3.6342 0.0000
3.6342 8.6810 0.0000
6.4595 1.4127 0.0000
8.6810 6.4595 0.0000
1.7060 6.7529 0.0000
3.3408 1.7060 0.0000
6.7529 8.3876 0.0000
8.3876 3.3408 0.0000
0.0000 5.0468 1.7768
0.1343 2.1534 1.7768
2.1534 9.9594 1.7768
2.8934 4.9125 1.7768
4.9125 7.2002 1.7768
5.0468 0.0000 1.7768
5.1811 2.8934 1.7768
7.2002 5.1811 1.7768
7.9403 0.1343 1.7768
9.9594 7.9403 1.7768
```

The value obtained for the total energy is -94.13 eV for the cell shown. The calculation puts the calculated formation energy at -4.30 eV/f.u. Its calculated density is 9.39 g/cm³.

A plane-wave DFT calculation with PBE was carried out for an optimized crystal structure of In2Ga2SnPd5.

Cell and atoms, written as POSCAR:
```
In2Ga2SnPd5
1.0
10.5647 0.0000 0.0000
0.0000 10.5647 0.0000
0.0000 0.0000 3.2364
In Ga Sn Pd
4 4 2 10
Cartesian
1.6320 3.6504 0.0000
3.6504 8.9327 0.0000
6.9143 1.6320 0.0000
8.9327 6.9143 0.0000
1.4570 6.7393 0.0000
3.8253 1.4570 0.0000
6.7393 9.1077 0.0000
9.1077 3.8253 0.0000
0.0000 0.0000 0.0000
5.2823 5.2823 0.0000
0.0000 5.2823 1.6182
1.3521 8.7520 1.6182
1.8127 1.3521 1.6182
3.4696 6.6345 1.6182
3.9302 3.4696 1.6182
5.2823 0.0000 1.6182
6.6345 7.0950 1.6182
7.0950 3.9302 1.6182
8.7520 9.2125 1.6182
9.2125 1.8127 1.6182
```

The value obtained for the total energy is -91.85 eV for the cell shown. The calculation puts the calculated formation energy at -4.43 eV/f.u. Its calculated density is 9.38 g/cm³.

> Among the records above, which one has the highest total energy?

In2Ga2SnPd5

> Which formula does entry 1 have?

InGa2Sn2Pd5